{
  "formula": "MnBeIr",
  "functional": "PBE-GGA",
  "state": "relaxed",
  "energy_ev_per_atom": -7.515,
  "relative_energy_ev_per_atom": 0.119,
  "formation_energy_mev_per_atom": -263,
  "magmom_total_mub_per_cell": 0.001,
  "lattice": [[4.1943, -1.9259, 0.0000], [4.1943, 1.9259, 0.0000], [-2.2407, 0.0000, 4.1164]],
  "species": ["Mn", "Mn", "Be", "Be", "Ir", "Ir"],
  "frac_coords": [[0.0166, 0.0166, 0.2799], [0.9834, 0.9834, 0.7201], [0.3445, 0.3445, 0.3828], [0.6555, 0.6555, 0.6172], [0.3244, 0.3244, 0.8659], [0.6756, 0.6756, 0.1341]]
}